Below is a relaxed Sc2TcI crystal, with properties calculated at the GGA-PBE level.

## Properties
Distance to the lowest polymorph of the same formula = 175 kJ/mol of formula units
M_tot = 0.000 μB per cell

Lattice parameters (Å, degrees): 9.5011 9.5011 9.5011 20.96 20.96 20.96
Atoms (fractional coordinates):
I 0.5000 0.5000 0.5000
Sc 0.0821 0.0821 0.0821
Sc 0.9179 0.9179 0.9179
Tc 0.0000 0.0000 0.0000